<a>
Compound: NiAg2Pd2
Source: the Alexandria database
Functional: PBE
Structure: relaxed

a = 3.6451 Å, b = 3.6452 Å, c = 7.2783 Å
α = 104.50°, β = 104.50°, γ = 90.00°
Closest atoms and distances in Å follow each position.
Fractional coordinates of all 5 atoms:
Ni (0.0000, 0.0000, 0.0000)  8 Pd 2.87
Ag (0.7500, 0.2500, 0.5000)  4 Ag 2.58, 4 Pd 2.81
Ag (0.2500, 0.7500, 0.5000)  4 Ag 2.58, 4 Pd 2.81
Pd (0.4068, 0.4068, 0.8136)  1 Pd 2.54, 4 Ag 2.81
Pd (0.5932, 0.5932, 0.1864)  1 Pd 2.54, 4 Ag 2.81

Output
Spin magnetization ... 1.27 Bohr magnetons per cell
Space group ... I4/mmm

<b>
Compound: NiAg2Pd2
Source: the Alexandria database
Functional: PBE
Structure: relaxed

a = 6.3662 Å, b = 6.3662 Å, c = 4.2274 Å
α = 90.00°, β = 90.00°, γ = 90.00°
Closest atoms and distances in Å follow each position.
Fractional coordinates of all 10 atoms:
Ni (0.0000, 0.0000, 0.0000)  4 Pd 2.44
Ni (0.5000, 0.5000, 0.0000)  4 Pd 2.44
Pd (0.3556, 0.8556, 0.0000)  2 Ni 2.44, 1 Pd 2.60
Pd (0.8556, 0.6444, 0.0000)  2 Ni 2.44, 1 Pd 2.60
Pd (0.6444, 0.1444, 0.0000)  2 Ni 2.44, 1 Pd 2.60
Pd (0.1444, 0.3556, 0.0000)  2 Ni 2.44, 1 Pd 2.60
Ag (0.1622, 0.6622, 0.5000)  6 Pd 2.74-2.88, 1 Ag 2.92
Ag (0.6622, 0.8378, 0.5000)  6 Pd 2.74-2.88, 1 Ag 2.92
Ag (0.8378, 0.3378, 0.5000)  6 Pd 2.74-2.88, 1 Ag 2.92
Ag (0.3378, 0.1622, 0.5000)  6 Pd 2.74-2.88, 1 Ag 2.92

Output
Spin magnetization ... 2.41 Bohr magnetons per cell
Space group ... P4/mbm

The structure with the greatest stability is <b>.

<a>
Compound: Ni2AgPd2
Source: the Alexandria database
Functional: PBE
Structure: relaxed

a = 3.3882 Å, b = 3.3882 Å, c = 7.1203 Å
α = 76.24°, β = 76.24°, γ = 90.00°
Closest atoms and distances in Å follow each position.
Fractional coordinates of all 5 atoms:
Ni (0.7500, 0.2500, 0.5000)  4 Ni 2.40, 4 Pd 2.55
Ni (0.2500, 0.7500, 0.5000)  4 Ni 2.40, 4 Pd 2.55
Pd (0.3926, 0.3926, 0.2148)  4 Ni 2.55, 4 Ag 2.80
Pd (0.6074, 0.6074, 0.7852)  4 Ni 2.55, 4 Ag 2.80
Ag (0.0000, 0.0000, 0.0000)  8 Pd 2.80

Output
Spin magnetization ... 1.85 Bohr magnetons per cell
Space group ... I4/mmm

<b>
Compound: Ni2AgPd2
Source: the Alexandria database
Functional: PBE
Structure: relaxed

a = 3.7879 Å, b = 3.7879 Å, c = 6.0715 Å
α = 71.82°, β = 71.82°, γ = 90.00°
Closest atoms and distances in Å follow each position.
Fractional coordinates of all 5 atoms:
Ni (0.4004, 0.4004, 0.1992)  1 Ni 2.17
Ni (0.5996, 0.5996, 0.8008)  1 Ni 2.17
Pd (0.7500, 0.2500, 0.5000)  4 Ni 2.50, 4 Pd 2.68
Pd (0.2500, 0.7500, 0.5000)  4 Ni 2.50, 4 Pd 2.68
Ag (0.0000, 0.0000, 0.0000)  8 Ni 2.89

Output
Spin magnetization ... 1.86 Bohr magnetons per cell
Space group ... I4/mmm

The structure with the greatest stability is <a>.

<a>
Compound: Ni2AgPd2
Source: the Alexandria database
Functional: PBE
Structure: relaxed

a = 7.3589 Å, b = 7.3589 Å, c = 2.7322 Å
α = 90.00°, β = 90.00°, γ = 90.00°
Closest atoms and distances in Å follow each position.
Fractional coordinates of all 10 atoms:
Ni (0.1637, 0.6637, 0.5000)  6 Pd 2.52-2.59, 2 Ni 2.73
Ni (0.6637, 0.8363, 0.5000)  6 Pd 2.52-2.59, 2 Ni 2.73
Ni (0.8363, 0.3363, 0.5000)  6 Pd 2.52-2.59, 2 Ni 2.73
Ni (0.3363, 0.1637, 0.5000)  6 Pd 2.52-2.59, 2 Ni 2.73
Pd (0.3668, 0.8668, 0.0000)  6 Ni 2.52-2.59, 3 Pd 2.73-2.77
Pd (0.8668, 0.6332, 0.0000)  6 Ni 2.52-2.59, 3 Pd 2.73-2.77
Pd (0.6332, 0.1332, 0.0000)  6 Ni 2.52-2.59, 3 Pd 2.73-2.77
Pd (0.1332, 0.3668, 0.0000)  6 Ni 2.52-2.59, 3 Pd 2.73-2.77
Ag (0.0000, 0.0000, 0.0000)  2 Ag 2.73, 4 Pd 2.87
Ag (0.5000, 0.5000, 0.0000)  2 Ag 2.73, 4 Pd 2.87

Output
Spin magnetization ... 3.19 Bohr magnetons per cell
Space group ... P4/mbm

<b>
Compound: Ni2AgPd2
Source: the Alexandria database
Functional: PBE
Structure: relaxed

a = 7.2744 Å, b = 7.2744 Å, c = 2.7585 Å
α = 90.00°, β = 90.00°, γ = 90.00°
Closest atoms and distances in Å follow each position.
Fractional coordinates of all 10 atoms:
Ni (0.3831, 0.8831, 0.0000)  1 Ni 2.41, 6 Pd 2.52-2.59
Ni (0.8831, 0.6169, 0.0000)  1 Ni 2.41, 6 Pd 2.52-2.59
Ni (0.6169, 0.1169, 0.0000)  1 Ni 2.41, 6 Pd 2.52-2.59
Ni (0.1169, 0.3831, 0.0000)  1 Ni 2.41, 6 Pd 2.52-2.59
Pd (0.1781, 0.6781, 0.5000)  6 Ni 2.52-2.59, 2 Pd 2.76
Pd (0.6781, 0.8219, 0.5000)  6 Ni 2.52-2.59, 2 Pd 2.76
Pd (0.8219, 0.3219, 0.5000)  6 Ni 2.52-2.59, 2 Pd 2.76
Pd (0.3219, 0.1781, 0.5000)  6 Ni 2.52-2.59, 2 Pd 2.76
Ag (0.0000, 0.0000, 0.0000)  2 Ag 2.76, 4 Ni 2.91, 8 Pd 3.01
Ag (0.5000, 0.5000, 0.0000)  2 Ag 2.76, 4 Ni 2.91, 8 Pd 3.01

Output
Spin magnetization ... 3.29 Bohr magnetons per cell
Space group ... P4/mbm

The structure with the greatest stability is <b>.

<a>
Compound: NiAg2Pd
Source: the Alexandria database
Functional: PBE
Structure: relaxed

a = 2.7629 Å, b = 2.7629 Å, c = 10.1193 Å
α = 82.15°, β = 82.15°, γ = 60.00°
Closest atoms and distances in Å follow each position.
Fractional coordinates of all 4 atoms:
Ni (0.0000, 0.0000, 0.0000)  2 Ag 2.58, 6 Ni 2.76
Pd (0.5000, 0.5000, 0.5000)  6 Pd 2.76, 6 Ag 2.90
Ag (0.0859, 0.0859, 0.7422)  1 Ni 2.58, 6 Ag 2.76
Ag (0.9141, 0.9141, 0.2578)  1 Ni 2.58, 6 Ag 2.76

Output
Spin magnetization ... 0.67 Bohr magnetons per cell
Space group ... R-3m

<b>
Compound: NiAg2Pd
Source: the Alexandria database
Functional: PBE
Structure: relaxed

a = 4.4621 Å, b = 4.4621 Å, c = 4.4621 Å
α = 60.00°, β = 60.00°, γ = 60.00°
Closest atoms and distances in Å follow each position.
Fractional coordinates of all 4 atoms:
Ni (0.0000, 0.0000, 0.0000)  8 Ag 2.73
Pd (0.5000, 0.5000, 0.5000)  8 Ag 2.73
Ag (0.2500, 0.2500, 0.2500)  4 Pd 2.73, 4 Ni 2.73
Ag (0.7500, 0.7500, 0.7500)  4 Pd 2.73, 4 Ni 2.73

Output
Spin magnetization ... 0.00 Bohr magnetons per cell
Space group ... Fm-3m

<c>
Compound: NiAg2Pd
Source: the Alexandria database
Functional: PBE
Structure: relaxed

a = 4.0488 Å, b = 3.9247 Å, c = 3.9247 Å
α = 90.00°, β = 90.00°, γ = 90.00°
Closest atoms and distances in Å follow each position.
Fractional coordinates of all 4 atoms:
Ni (0.5000, 0.5000, 0.5000)  4 Pd 2.78, 8 Ag 2.82
Pd (0.5000, 0.0000, 0.0000)  4 Ni 2.78, 8 Ag 2.82
Ag (0.0000, 0.0000, 0.5000)  4 Ag 2.78, 4 Ni 2.82, 4 Pd 2.82
Ag (0.0000, 0.5000, 0.0000)  4 Ag 2.78, 4 Ni 2.82, 4 Pd 2.82

Output
Spin magnetization ... 0.73 Bohr magnetons per cell
Space group ... P4/mmm

The structure with the greatest stability is <c>.

<a>
Compound: NiAgPd
Source: the Alexandria database
Functional: PBE
Structure: relaxed

a = 2.7786 Å, b = 2.7786 Å, c = 6.6783 Å
α = 90.00°, β = 90.00°, γ = 120.00°
Closest atoms and distances in Å follow each position.
Fractional coordinates of all 3 atoms:
Ni (0.6667, 0.3333, 0.3410)  3 Pd 2.61, 3 Ag 2.73, 6 Ni 2.78
Pd (0.3333, 0.6667, 0.6485)  3 Ni 2.61, 6 Pd 2.78, 3 Ag 2.90
Ag (0.0000, 0.0000, 0.0105)  3 Ni 2.73, 6 Ag 2.78, 3 Pd 2.90

Output
Spin magnetization ... 0.83 Bohr magnetons per cell
Space group ... P3m1

<b>
Compound: NiAgPd
Source: the Alexandria database
Functional: PBE
Structure: relaxed

a = 2.7844 Å, b = 2.7844 Å, c = 6.0535 Å
α = 103.30°, β = 103.30°, γ = 90.00°
Closest atoms and distances in Å follow each position.
Fractional coordinates of all 3 atoms:
Ni (0.3273, 0.3273, 0.6546)  4 Pd 2.60, 4 Ag 2.74, 4 Ni 2.78
Ag (0.9933, 0.9933, 0.9867)  4 Ni 2.74, 4 Ag 2.78, 4 Pd 2.90
Pd (0.6794, 0.6794, 0.3587)  4 Ni 2.60, 4 Pd 2.78, 4 Ag 2.90

Output
Spin magnetization ... 0.65 Bohr magnetons per cell
Space group ... I4mm

<c>
Compound: NiAgPd
Source: the Alexandria database
Functional: PBE
Structure: relaxed

a = 2.8386 Å, b = 2.8332 Å, c = 11.3825 Å
α = 75.66°, β = 90.00°, γ = 90.00°
Closest atoms and distances in Å follow each position.
Fractional coordinates of all 6 atoms:
Ni (0.7500, 0.6890, 0.0616)  4 Ni 2.42, 4 Pd 2.61-2.62
Ni (0.2500, 0.3110, 0.9384)  4 Ni 2.42, 4 Pd 2.61-2.62
Ag (0.7500, 0.3498, 0.4017)  8 Ag 2.83-2.96, 4 Pd 2.88-2.89
Ag (0.2500, 0.6502, 0.5983)  8 Ag 2.83-2.96, 4 Pd 2.88-2.89
Pd (0.7500, 0.9619, 0.7862)  4 Ni 2.61-2.62, 4 Pd 2.83-2.84, 4 Ag 2.88-2.89
Pd (0.2500, 0.0381, 0.2138)  4 Ni 2.61-2.62, 4 Pd 2.83-2.84, 4 Ag 2.88-2.89

Output
Spin magnetization ... 1.63 Bohr magnetons per cell
Space group ... P2_1/m

The structure with the greatest stability is <c>.

<a>
Compound: PmNi2Ag
Source: the Alexandria database
Functional: PBE
Structure: relaxed

a = 4.3694 Å, b = 4.3694 Å, c = 5.1664 Å
α = 64.98°, β = 64.98°, γ = 60.00°
Closest atoms and distances in Å follow each position.
Fractional coordinates of all 4 atoms:
Ni (0.7999, 0.7999, 0.6002)  3 Ag 2.56, 3 Ni 2.68, 1 Pm 2.71
Ni (0.2001, 0.2001, 0.3998)  3 Ag 2.56, 3 Ni 2.68, 1 Pm 2.71
Ag (0.5000, 0.5000, 0.5000)  6 Ni 2.56
Pm (0.0000, 0.0000, 0.0000)  2 Ni 2.71

Output
Spin magnetization ... 0.00 Bohr magnetons per cell
Space group ... R-3m

<b>
Compound: PmNi2Ag
Source: the Alexandria database
Functional: PBE
Structure: relaxed

a = 3.7269 Å, b = 4.2876 Å, c = 4.2876 Å
α = 90.00°, β = 90.00°, γ = 90.00°
Closest atoms and distances in Å follow each position.
Fractional coordinates of all 4 atoms:
Ni (0.0000, 0.0000, 0.5000)  4 Pm 2.84, 4 Ag 2.84, 4 Ni 3.03
Ni (0.0000, 0.5000, 0.0000)  4 Pm 2.84, 4 Ag 2.84, 4 Ni 3.03
Ag (0.5000, 0.0000, 0.0000)  8 Ni 2.84, 4 Pm 3.03
Pm (0.5000, 0.5000, 0.5000)  8 Ni 2.84, 4 Ag 3.03

Output
Spin magnetization ... 0.00 Bohr magnetons per cell
Space group ... P4/mmm

The structure with the greatest stability is <a>.